1.
VASP calculation (GGA-PBE) on a relaxed ZrBrO2 crystal.

Output
Fermi-level density of states: 0.917 states/eV/atom
SG: R-3m
Relative energy among the computed polymorphs: 204.0 kJ per mole of atoms
ΔE_f (raw): -0.23 eV/f.u.

abc: 7.854 7.854 7.854
angles: 25.67 25.67 25.67
Site moments in Bohr magnetons follow the coordinates.
Fractional positions:
O1 0.915 0.915 0.915  0.50
O2 0.085 0.085 0.085  0.50
Zr1 0.000 0.000 0.000  0.14
Br1 0.500 0.500 0.500  1.08

---

2.
VASP calculation (GGA-PBE) on a relaxed Zr2BrO crystal.

Output
Fermi-level density of states: 0.744 states/eV/atom
SG: I-42d
Relative energy among the computed polymorphs: 0.0 kJ per mole of atoms
ΔE_f (raw): -4.33 eV/f.u.

abc: 5.509 5.509 6.939
angles: 66.61 66.61 90.00
Fractional positions:
Zr1 0.232 0.625 0.250
Zr2 0.518 0.125 0.250
Zr3 0.375 0.482 0.750
Zr4 0.875 0.768 0.750
Br1 0.000 0.000 0.000
Br2 0.750 0.250 0.500
O1 0.250 0.750 0.500
O2 0.500 0.500 0.000

---

3.
VASP calculation (GGA-PBE) on a relaxed Zr2BrO crystal.

Output
Fermi-level density of states: 0.953 states/eV/atom
SG: Fm-3m
Relative energy among the computed polymorphs: 46.5 kJ per mole of atoms
ΔE_f (raw): -2.40 eV/f.u.

abc: 4.519 4.519 4.519
angles: 60.00 60.00 60.00
Fractional positions:
Zr1 0.750 0.750 0.750
Zr2 0.250 0.250 0.250
Br1 0.500 0.500 0.500
O1 0.000 0.000 0.000

---

4.
VASP calculation (GGA-PBE) on a relaxed ZrBrO2 crystal.

Output
Fermi-level density of states: 0.412 states/eV/atom
SG: R-3m
Relative energy among the computed polymorphs: 0.0 kJ per mole of atoms
ΔE_f (raw): -8.68 eV/f.u.

abc: 8.911 8.911 8.911
angles: 20.91 20.91 20.91
Fractional positions:
O1 0.128 0.128 0.128
O2 0.872 0.872 0.872
Zr1 0.500 0.500 0.500
Br1 0.000 0.000 0.000

---

Number 1: raw total energy -5.091 eV/atom. Number 2: raw total energy -7.014 eV/atom. Number 3: raw total energy -6.532 eV/atom. Number 4: raw total energy -7.205 eV/atom.